Arrangement P

## CaTiHg (PBE)

Data for crystalline CaTiHg at its relaxed geometry.

POSCAR file:
```
CaTiHg
1.0
-3.088 -3.118 5.104
-1.261 -3.751 -3.050
3.054 -3.917 -0.541
Hg Ti Ca
2 2 2
Direct
0.005 0.188 0.452
0.519 0.855 0.119
0.214 0.521 0.785
0.091 0.855 0.119
0.446 0.188 0.452
0.762 0.521 0.785
```

Properties
Space-group type ... P3m1 (156)
DOS(E_F) ... 4.7 states/eV per cell

***

Arrangement Q

## CaTiHg (PBE)

Data for crystalline CaTiHg at its relaxed geometry.

POSCAR file:
```
CaTiHg
1.0
-1.463 1.528 -3.045
-1.695 -3.197 -0.790
-7.118 4.018 7.702
Hg Ti Ca
2 2 2
Direct
0.513 0.350 0.299
0.681 0.517 0.634
0.407 0.744 0.088
0.907 0.244 0.088
0.272 0.108 0.815
0.094 0.930 0.460
```

Properties
Space-group type ... I4mm (107)
DOS(E_F) ... 5.6 states/eV per cell

***

arrangement Q ends up most stable, edging out the next structure by 0.010 eV/atom.